Compound: Sr3TmTl12
Source: Alexandria
Functional: PBE-GGA
Structure: relaxed

The structure in CIF format:
```
data_Sr3TmTl12
_cell_length_a 4.9612
_cell_length_b 4.9612
_cell_length_c 19.5051
_cell_angle_alpha 90.00
_cell_angle_beta 90.00
_cell_angle_gamma 90.00
_symmetry_space_group_name_H-M 'P 1'
_symmetry_Int_Tables_number 1
_symmetry_space_group_name_Hall 'P 1'
loop_
_atom_site_label
_atom_site_type_symbol
_atom_site_fract_x
_atom_site_fract_y
_atom_site_fract_z
Sr1 Sr 0.0000 0.0000 0.0000
Sr2 Sr 0.0000 0.0000 0.2585
Sr3 Sr 0.0000 0.0000 0.7415
Tm1 Tm 0.0000 0.0000 0.5000
Tl1 Tl 0.0000 0.5000 0.1283
Tl2 Tl 0.0000 0.5000 0.3841
Tl3 Tl 0.0000 0.5000 0.6159
Tl4 Tl 0.0000 0.5000 0.8717
Tl5 Tl 0.5000 0.0000 0.1283
Tl6 Tl 0.5000 0.0000 0.3841
Tl7 Tl 0.5000 0.0000 0.6159
Tl8 Tl 0.5000 0.0000 0.8717
Tl9 Tl 0.5000 0.5000 0.0000
Tl10 Tl 0.5000 0.5000 0.2511
Tl11 Tl 0.5000 0.5000 0.5000
Tl12 Tl 0.5000 0.5000 0.7489
```

Space-group type: P4/mmm, No. 123
Calculated volume (Å³ per atom): 30.01
ΔH_f (0 K) (eV/atom): -0.23